A relaxed CsMnF3 crystal. Source: Alexandria via LeMat-Bulk, functional PBE with a Hubbard U.

a = 3.994 Å, b = 3.994 Å, c = 15.100 Å
α = 90.00°, β = 90.00°, γ = 120.00°
Atoms (fractional coordinates):
Cs 0.000 0.000 0.000
Cs 0.000 0.000 0.500
Mn 0.333 0.667 0.250
Mn 0.667 0.333 0.750
F 0.000 0.000 0.250
F 0.000 0.000 0.750
F 0.333 0.667 0.119
F 0.333 0.667 0.381
F 0.667 0.333 0.619
F 0.667 0.333 0.881

Output
V: 20.86 A^3/atom
Total energy: -27.00 eV per formula unit
Space-group type: P6_3/mmc (194)